[1]
VASP calculation (PBE) on an optimized crystal structure of LuPaNO.

Calculated values
- Density: 11.3 g/cm³
- Energy above the most stable polymorph in this dataset: 600.5 meV/atom
- E: -7.787 eV/atom

a = 3.9111 Å, b = 3.9111 Å, c = 8.3649 Å
α = 90.00°, β = 90.00°, γ = 90.00°
With the nearest neighbours (Å) after each atom.
Positions (direct):
Lu 0.2500 0.7500 0.0000  4 N 2.43
Lu 0.7500 0.2500 0.0000  4 N 2.43
Pa 0.2500 0.2500 0.3413  4 O 2.36
Pa 0.7500 0.7500 0.6587  4 O 2.36
N 0.2500 0.2500 0.8266  4 Lu 2.43
N 0.7500 0.7500 0.1734  4 Lu 2.43
O 0.2500 0.7500 0.5000  4 Pa 2.36
O 0.7500 0.2500 0.5000  4 Pa 2.36



[2]
VASP calculation (PBE) on an optimized crystal structure of LuPbNO.

Calculated values
- Density: 8.7 g/cm³
- Energy above the most stable polymorph in this dataset: 501.0 meV/atom
- E: -6.421 eV/atom

a = 4.2672 Å, b = 4.2672 Å, c = 8.6387 Å
α = 90.00°, β = 90.00°, γ = 90.00°
With the nearest neighbours (Å) after each atom.
Positions (direct):
Lu 0.2500 0.7500 0.0000  4 N 2.22
Lu 0.7500 0.2500 0.0000  4 N 2.22
Pb 0.2500 0.2500 0.3754  4 O 2.39
Pb 0.7500 0.7500 0.6246  4 O 2.39
N 0.2500 0.2500 0.9280  4 Lu 2.22
N 0.7500 0.7500 0.0720  4 Lu 2.22
O 0.2500 0.7500 0.5000  4 Pb 2.39
O 0.7500 0.2500 0.5000  4 Pb 2.39



[3]
VASP calculation (PBE) on an optimized crystal structure of LuPbNO.

Calculated values
- Density: 8.9 g/cm³
- Energy above the most stable polymorph in this dataset: 269.2 meV/atom
- E: -6.653 eV/atom

a = 4.3991 Å, b = 4.3991 Å, c = 7.9446 Å
α = 90.00°, β = 90.00°, γ = 90.00°
With the nearest neighbours (Å) after each atom.
Positions (direct):
Lu 0.2500 0.2500 0.0845  1 N 2.10, 4 O 2.30
Lu 0.7500 0.7500 0.9155  1 N 2.10, 4 O 2.30
Pb 0.2500 0.7500 0.5000  4 N 2.51
Pb 0.7500 0.2500 0.5000  4 N 2.51
N 0.2500 0.2500 0.3487  1 Lu 2.10
N 0.7500 0.7500 0.6513  1 Lu 2.10
O 0.2500 0.7500 0.0000  4 Lu 2.30
O 0.7500 0.2500 0.0000  4 Lu 2.30



[4]
VASP calculation (PBE) on an optimized crystal structure of LuPbNO.

Calculated values
- Density: 9.0 g/cm³
- Energy above the most stable polymorph in this dataset: 220.5 meV/atom
- E: -6.701 eV/atom

a = 3.7784 Å, b = 6.4424 Å, c = 6.2686 Å
α = 90.00°, β = 90.00°, γ = 90.00°
With the nearest neighbours (Å) after each atom.
Positions (direct):
Lu 0.0000 0.1757 0.0000  2 O 2.08-2.10, 2 N 2.22
Lu 0.0000 0.8243 0.5000  2 O 2.08-2.10, 2 N 2.22
Pb 0.5000 0.3182 0.5195  1 N 2.26
Pb 0.5000 0.6818 0.0195  1 N 2.26
N 0.5000 0.3421 0.9271  2 Lu 2.22, 1 Pb 2.26
N 0.5000 0.6579 0.4271  2 Lu 2.22, 1 Pb 2.26
O 0.0000 0.0998 0.3221  2 Lu 2.08-2.10
O 0.0000 0.9002 0.8221  2 Lu 2.08-2.10



- Which formula does entry 1 have?
  LuPaNO



- Among the records above, which one has the lowest energy above the most stable polymorph in this dataset?
  number 4



- Which of these has the highest density?
  LuPaNO